No. 1
Here is a relaxed BeMo2Pt crystal from the Alexandria database. Energies are from GGA-PBE.

Lattice parameters (Å, degrees): 2.7157 4.0884 5.2222 90.00 99.18 90.00
Last column: nearest neighbours and their distance in Å.
Space group Pm (No. 6)
Inequivalent atoms, fractional coordinates:
Be: 0.0000 0.0000 0.0000 [1 per cell]  2 Pt 2.40, 3 Mo 2.55-2.67
Mo: 0.3595 0.0000 0.4829 [1 per cell]  1 Be 2.55, 4 Mo 2.60-2.72, 4 Pt 2.82-2.84
Mo: 0.5804 0.5000 0.2139 [1 per cell]  4 Mo 2.60-2.72, 4 Be 2.67-2.71, 3 Pt 2.72-2.84
Pt: 0.9363 0.5000 0.7565 [1 per cell]  2 Be 2.40

- DFT total energy: -8.031 eV per atom
- Magnetic moment: 0.00 μB per cell
- Energy of formation from the pure elements: -173.5 meV per atom
- DOS(E_F): 1.9 states/eV/cell

---

No. 2
Here is a relaxed Be2MoPt crystal from the Alexandria database. Energies are from GGA-PBE.

Lattice parameters (Å, degrees): 7.0803 2.6860 5.2679 90.00 98.04 90.00
Last column: nearest neighbours and their distance in Å.
Space group C2/m (No. 12)
Inequivalent atoms, fractional coordinates:
Be: 0.2441 0.0000 0.2246 [4 per cell]  3 Pt 2.30-2.37, 3 Mo 2.41-2.54
Mo: 0.0000 0.0000 0.5000 [2 per cell]  6 Be 2.41-2.54, 2 Mo 2.69
Pt: 0.0000 0.5000 0.0000 [2 per cell]  6 Be 2.30-2.37

- DFT total energy: -6.212 eV per atom
- Magnetic moment: 0.00 μB per cell
- Energy of formation from the pure elements: -130.5 meV per atom
- DOS(E_F): 3.8 states/eV/cell

---

No. 3
Here is a relaxed Be2MoPt2 crystal from the Alexandria database. Energies are from GGA-PBE.

Lattice parameters (Å, degrees): 7.0216 7.0216 2.6565 90.00 90.00 90.00
Last column: nearest neighbours and their distance in Å.
Space group P4/mbm (No. 127)
Inequivalent atoms, fractional coordinates:
Be: 0.1626 0.3374 0.0000 [4 per cell]  6 Pt 2.39-2.50, 2 Be 2.66
Mo: 0.0000 0.0000 0.5000 [2 per cell]  2 Mo 2.66, 4 Pt 2.72, 8 Be 2.95
Pt: 0.1372 0.6372 0.5000 [4 per cell]  6 Be 2.39-2.50, 2 Pt 2.66

- DFT total energy: -6.341 eV per atom
- Magnetic moment: 0.00 μB per cell
- Energy of formation from the pure elements: -268.3 meV per atom
- DOS(E_F): 6.5 states/eV/cell

---

No. 4
Here is a relaxed BeMo2Pt crystal from the Alexandria database. Energies are from GGA-PBE.

Lattice parameters (Å, degrees): 3.3750 3.8998 8.5675 90.00 90.00 90.00
Last column: nearest neighbours and their distance in Å.
Space group Immm (No. 71)
Inequivalent atoms, fractional coordinates:
Be: 0.0000 0.0000 0.0000 [2 per cell]  4 Pt 2.58, 4 Mo 2.70
Mo: 0.0000 0.5000 0.2545 [4 per cell]  4 Mo 2.58, 2 Be 2.70, 4 Pt 2.76-2.87
Pt: 0.0000 0.0000 0.5000 [2 per cell]  4 Be 2.58, 8 Mo 2.76-2.87

- DFT total energy: -8.044 eV per atom
- Magnetic moment: 0.00 μB per cell
- Energy of formation from the pure elements: -187.0 meV per atom
- DOS(E_F): 4.2 states/eV/cell

---

No. 5
Here is a relaxed BeMo2Pt crystal from the Alexandria database. Energies are from GGA-PBE.

Lattice parameters (Å, degrees): 5.0490 8.4684 2.6840 90.00 90.00 90.00
Last column: nearest neighbours and their distance in Å.
Space group Cmmm (No. 65)
Inequivalent atoms, fractional coordinates:
Be: 0.0000 0.0000 0.0000 [2 per cell]  2 Pt 2.52, 2 Be 2.68, 8 Mo 2.81
Mo: 0.2500 0.2500 0.5000 [4 per cell]  4 Mo 2.52-2.68, 4 Be 2.81, 4 Pt 2.81
Pt: 0.0000 0.5000 0.0000 [2 per cell]  2 Be 2.52, 2 Pt 2.68, 8 Mo 2.81

- DFT total energy: -7.922 eV per atom
- Magnetic moment: 0.00 μB per cell
- Energy of formation from the pure elements: -64.5 meV per atom
- DOS(E_F): 4.8 states/eV/cell

---

No. 6
Here is a relaxed Be2MoPt crystal from the Alexandria database. Energies are from GGA-PBE.

Lattice parameters (Å, degrees): 2.7667 4.0425 8.6017 90.00 90.00 90.00
Last column: nearest neighbours and their distance in Å.
Space group Imm2 (No. 44)
Inequivalent atoms, fractional coordinates:
Be: 0.0000 0.0000 0.0000 [2 per cell]  2 Be 2.32, 4 Mo 2.45, 2 Pt 2.50
Be: 0.0000 0.5000 0.2840 [2 per cell]  2 Be 2.32, 4 Pt 2.48
Mo: 0.0000 0.0000 0.5166 [2 per cell]  6 Be 2.45-2.68, 2 Pt 2.74
Pt: 0.0000 0.5000 0.7422 [2 per cell]  6 Be 2.48-2.50, 2 Mo 2.74, 2 Pt 2.77

- DFT total energy: -6.248 eV per atom
- Magnetic moment: 0.00 μB per cell
- Energy of formation from the pure elements: -167.3 meV per atom
- DOS(E_F): 4.8 states/eV/cell